Compound: SrCdI4
Source: Alexandria
Functional: PBE-GGA
Structure: optimized geometry

E_tot, eV per atom: -2.580
Magnetization, μB/cell: 0.0

Structure (POSCAR):
```
SrCdI4
1.0
-2.331 -2.160 -3.244
4.222 -6.248 1.126
-5.424 -2.249 5.395
I Cd Sr
4 1 1
direct
0.500 0.226 0.864
0.500 0.774 0.136
0.000 0.762 0.680
0.000 0.238 0.320
0.000 0.000 0.000
0.500 0.000 0.500
```


Compound: SrCd3I
Source: Alexandria
Functional: PBE-GGA
Structure: optimized geometry

E_tot, eV per atom: -0.988
Magnetization, μB/cell: 0.0

Structure (POSCAR):
```
SrCd3I
1.0
-0.278 6.555 -0.097
-3.582 -0.234 -5.492
-5.490 -0.180 3.589
Sr Cd I
1 3 1
direct
0.000 0.000 0.000
0.000 0.500 0.000
0.000 0.000 0.500
0.500 0.000 0.000
0.500 0.500 0.500
```


Compound: SrCdI2
Source: Alexandria
Functional: PBE-GGA
Structure: optimized geometry

E_tot, eV per atom: -2.400
Magnetization, μB/cell: 0.0

Structure (POSCAR):
```
SrCdI2
1.0
-2.656 2.091 4.843
-0.412 5.829 0.859
-5.243 2.685 -0.433
Cd I Sr
1 2 1
direct
0.500 0.500 0.500
0.750 0.750 0.750
0.250 0.250 0.250
0.000 0.000 0.000
```


Compound: Sr2Cd2I
Source: Alexandria
Functional: PBE-GGA
Structure: optimized geometry

E_tot, eV per atom: -1.832
Magnetization, μB/cell: 0.0

Structure (POSCAR):
```
Sr2Cd2I
1.0
9.102 0.000 0.000
0.000 9.102 0.000
0.000 0.000 4.354
Sr Cd I
4 4 2
direct
0.178 0.678 0.500
0.322 0.178 0.500
0.822 0.322 0.500
0.678 0.822 0.500
0.615 0.115 0.000
0.885 0.615 0.000
0.115 0.385 0.000
0.385 0.885 0.000
0.500 0.500 0.000
0.000 0.000 0.000
```


Compound: Sr2Cd2I
Source: Alexandria
Functional: PBE-GGA
Structure: optimized geometry

E_tot, eV per atom: -1.884
Magnetization, μB/cell: 0.0

Structure (POSCAR):
```
Sr2Cd2I
1.0
9.164 0.000 0.000
0.000 9.164 0.000
0.000 0.000 4.609
Sr Cd I
4 4 2
direct
0.680 0.180 0.000
0.180 0.320 0.000
0.320 0.820 0.000
0.820 0.680 0.000
0.388 0.112 0.500
0.888 0.388 0.500
0.112 0.612 0.500
0.612 0.888 0.500
0.500 0.500 0.000
0.000 0.000 0.000
```


Compound: SrCd2I
Source: Alexandria
Functional: PBE-GGA
Structure: optimized geometry

E_tot, eV per atom: -1.482
Magnetization, μB/cell: 0.0

Structure (POSCAR):
```
SrCd2I
1.0
0.558 3.099 4.945
-2.937 5.031 0.654
-4.468 0.315 3.781
Cd Sr I
2 1 1
direct
0.750 0.750 0.750
0.250 0.250 0.250
0.000 0.000 0.000
0.500 0.500 0.500
```


Compound: SrCdI4
Source: Alexandria
Functional: PBE-GGA
Structure: optimized geometry

E_tot, eV per atom: -2.556
Magnetization, μB/cell: 0.0

Structure (POSCAR):
```
SrCdI4
1.0
-5.502 -4.734 5.431
4.919 6.318 4.255
-5.830 5.890 3.676
I Cd Sr
8 2 2
direct
0.763 0.326 0.063
0.174 0.112 0.063
0.388 0.326 0.437
0.826 0.888 0.937
0.612 0.674 0.563
0.174 0.737 0.437
0.237 0.674 0.937
0.826 0.263 0.563
0.375 0.125 0.250
0.625 0.875 0.750
0.125 0.375 0.750
0.875 0.625 0.250
```


Compound: SrCd2I
Source: Alexandria
Functional: PBE-GGA
Structure: optimized geometry

E_tot, eV per atom: -1.676
Magnetization, μB/cell: 0.0

Structure (POSCAR):
```
SrCd2I
1.0
-7.107 6.026 1.893
0.443 -2.368 9.198
-1.191 4.195 6.052
I Cd Sr
2 4 2
direct
0.750 0.250 0.500
0.000 0.000 0.000
0.624 0.125 0.250
0.375 0.376 0.750
0.875 0.874 0.750
0.126 0.625 0.250
0.250 0.750 0.500
0.500 0.500 0.000
```


Compound: Sr12Cd5I3
Source: Alexandria
Functional: PBE-GGA
Structure: optimized geometry

E_tot, eV per atom: -1.668
Magnetization, μB/cell: 3.3

Structure (POSCAR):
```
Sr12Cd5I3
1.0
-3.526 -16.937 -0.161
7.264 4.522 -15.037
10.916 3.495 12.960
I Sr Cd
12 48 20
direct
0.750 0.875 0.625
0.875 0.125 0.250
0.750 0.375 0.125
0.375 0.750 0.625
0.625 0.375 0.750
0.875 0.750 0.125
0.125 0.250 0.875
0.125 0.875 0.750
0.375 0.625 0.250
0.250 0.125 0.375
0.625 0.250 0.375
0.250 0.625 0.875
0.673 0.462 0.575
0.289 0.402 0.827
0.613 0.575 0.902
0.387 0.425 0.098
0.327 0.789 0.402
0.173 0.098 0.711
0.598 0.711 0.673
0.538 0.211 0.113
0.402 0.113 0.575
0.925 0.827 0.538
0.962 0.575 0.173
0.902 0.827 0.789
0.113 0.402 0.075
0.711 0.598 0.173
0.827 0.902 0.289
0.173 0.075 0.962
0.425 0.387 0.598
0.075 0.173 0.462
0.425 0.038 0.327
0.402 0.289 0.327
0.211 0.673 0.098
0.575 0.613 0.402
0.598 0.887 0.425
0.711 0.113 0.038
0.387 0.962 0.789
0.925 0.098 0.887
0.789 0.327 0.902
0.962 0.387 0.289
0.098 0.925 0.387
0.211 0.538 0.613
0.673 0.211 0.598
0.538 0.327 0.925
0.327 0.538 0.425
0.038 0.425 0.827
0.887 0.289 0.462
0.789 0.462 0.387
0.827 0.925 0.038
0.887 0.598 0.925
0.289 0.887 0.962
0.038 0.613 0.711
0.075 0.902 0.113
0.462 0.673 0.075
0.613 0.038 0.211
0.462 0.789 0.887
0.098 0.173 0.211
0.575 0.962 0.673
0.902 0.075 0.613
0.113 0.711 0.538
0.000 0.000 0.500
0.500 0.000 0.500
0.875 0.250 0.625
0.500 0.500 0.000
0.250 0.875 0.125
0.000 0.500 0.500
0.500 0.000 0.000
0.375 0.125 0.750
0.375 0.250 0.125
0.625 0.750 0.875
0.000 0.000 0.000
0.125 0.750 0.375
0.625 0.875 0.250
0.750 0.625 0.375
0.250 0.375 0.625
0.750 0.125 0.875
0.125 0.375 0.250
0.000 0.500 0.000
0.875 0.625 0.750
0.500 0.500 0.500
```


Compound: SrCdI3
Source: Alexandria
Functional: PBE-GGA
Structure: optimized geometry

E_tot, eV per atom: -2.216
Magnetization, μB/cell: 1.0

Structure (POSCAR):
```
SrCdI3
1.0
-5.014 3.876 -0.982
-3.371 -3.251 4.380
2.149 3.941 4.580
Cd I Sr
1 3 1
direct
0.500 0.500 0.500
0.000 0.000 0.500
0.500 0.000 0.000
0.000 0.500 0.000
0.000 0.000 0.000
```


Compound: SrCdTeI2
Source: Alexandria
Functional: PBE-GGA
Structure: optimized geometry

E_tot, eV per atom: -2.211
Magnetization, μB/cell: 1.7

Structure (POSCAR):
```
SrCdTeI2
1.0
-0.714 -6.311 -0.372
2.827 -0.654 5.662
-5.904 0.491 3.004
Sr Te I Cd
1 1 2 1
direct
0.000 0.000 0.000
0.000 0.000 0.500
0.500 0.000 0.000
0.000 0.500 0.000
0.500 0.500 0.500
```


Compound: SrCdTe2I
Source: Alexandria
Functional: PBE-GGA
Structure: optimized geometry

E_tot, eV per atom: -2.622
Magnetization, μB/cell: 0.0

Structure (POSCAR):
```
SrCdTe2I
1.0
5.613 0.000 0.000
0.000 5.613 0.000
0.000 0.000 6.056
Sr Cd Te I
1 1 2 1
direct
0.500 0.500 0.500
0.000 0.000 0.000
0.500 0.000 0.000
0.000 0.500 0.000
0.000 0.000 0.500
```


no.,calculated volume (Å³/f.u.)
1,275.8
2,282.4
3,145.7
4,180.4
5,193.5
6,142.4
7,285.3
8,146.1
9,996.6
10,263.7
11,268.9
12,190.8